The following is a GGA+U calculation of a geometry-optimized KZrV2O8 structure, from the Alexandria database.

Values from the calculation:
Magnetization (μB per atom): 0.090
Volume (Å³/cell): 219
Fermi-level density of states (states/eV/atom): 0.728
Energy (eV/atom): -7.480

a = 5.7882 Å, b = 5.7882 Å, c = 7.5419 Å
α = 90.00°, β = 90.00°, γ = 120.00°
Atoms (fractional coordinates):
1 K 0.0000 0.0000 0.0000
2 Zr 0.0000 0.0000 0.5000
3 V 0.3333 0.6667 0.7432
4 V 0.6667 0.3333 0.2568
5 O 0.1656 0.3340 0.6679
6 O 0.1684 0.8344 0.6679
7 O 0.3333 0.6667 0.9652
8 O 0.3340 0.1684 0.3321
9 O 0.6660 0.8316 0.6679
10 O 0.6667 0.3333 0.0348
11 O 0.8316 0.1656 0.3321
12 O 0.8344 0.6660 0.3321